Density functional theory data (PBE) for NdTl3Ge2Te6 after structural relaxation.

Results
The value obtained for the uncorrected formation energy is -0.398 eV/atom.

Cell and atoms, written as CIF:
```
data_NdTl3Ge2Te6
_chemical_formula_sum 'Nd2 Tl6 Ge4 Te12'
_cell_length_a 7.7631
_cell_length_b 13.5032
_cell_length_c 7.9473
_cell_angle_alpha 90.00
_cell_angle_beta 109.34
_cell_angle_gamma 90.00
_space_group_name_H-M_alt 'C 1 2/m 1'
_space_group_IT_number 12
loop_
_space_group_symop_operation_xyz
'x,y,z'
'-x,-y,-z'
'-x,y,-z'
'x,-y,z'
'x+1/2,y+1/2,z'
'-x+1/2,-y+1/2,-z'
'-x+1/2,y+1/2,-z'
'x+1/2,-y+1/2,z'
loop_
_atom_site_label
_atom_site_type_symbol
_atom_site_fract_x
_atom_site_fract_y
_atom_site_fract_z
Nd1 Nd 0.0000 0.0000 0.0000
Tl1 Tl 0.0000 0.1569 0.5000
Tl2 Tl 0.0000 0.5000 0.5000
Ge1 Ge 0.0000 0.3271 0.0000
Te1 Te 0.2217 0.5000 0.2132
Te2 Te 0.2474 0.1739 0.2191
```